The following is a DFT calculation (PBE) of PrDyNiRh after structural relaxation.

Output
- distance to the lowest polymorph of the same formula (meV per atom) = 69
- crystal system = cubic
- calculated formation energy (eV per atom) = -0.50

a b c (Å): 4.9260 4.9260 4.9260
angles (deg): 60.00 60.00 60.00
Fractional coordinates of all 4 atoms:
Pr1 0.0000 0.0000 0.0000
Dy1 0.5000 0.5000 0.5000
Ni1 0.7500 0.7500 0.7500
Rh1 0.2500 0.2500 0.2500